Record 1
A plane-wave DFT calculation with PBE was carried out for a geometry-optimized TbPr3Sm4 structure.

Cell: 3.498 6.301 12.902 Å, 95.37 97.79 90.00°
Positions (direct):
Pr: 0.000 0.500 0.000
Pr: 0.144 0.762 0.288
Pr: 0.856 0.238 0.712
Tb: 0.500 0.000 0.000
Sm: 0.722 0.236 0.444
Sm: 0.278 0.764 0.556
Sm: 0.107 0.247 0.213
Sm: 0.893 0.753 0.787

* symmetry: No. 12
* energy relative to the lowest polymorph listed for this composition: 0.176 eV per atom
* energy of formation from the pure elements: 20 kJ/mol of atoms
* crystal system: monoclinic



Record 2
A plane-wave DFT calculation with PBE was carried out for a geometry-optimized Tb7Nd2Mg2 structure.

Cell: 8.191 6.658 6.658 Å, 90.33 79.99 79.99°
Positions (direct):
Tb: 0.174 0.111 0.519
Tb: 0.826 0.481 0.889
Tb: 0.826 0.889 0.481
Tb: 0.174 0.519 0.111
Tb: 0.000 0.000 0.000
Tb: 0.470 0.693 0.693
Tb: 0.530 0.307 0.307
Nd: 0.500 0.181 0.819
Nd: 0.500 0.819 0.181
Mg: 0.852 0.404 0.404
Mg: 0.148 0.596 0.596

* symmetry: No. 12
* energy relative to the lowest polymorph listed for this composition: 0.000 eV per atom
* energy of formation from the pure elements: 14 kJ/mol of atoms
* crystal system: monoclinic



Record 3
A plane-wave DFT calculation with PBE was carried out for a geometry-optimized OsRh2Br structure.

Cell: 9.098 9.098 9.098 Å, 18.04 18.04 18.04°
Positions (direct):
Rh: 0.005 0.005 0.005
Rh: 0.495 0.495 0.495
Os: 0.750 0.750 0.750
Br: 0.250 0.250 0.250

* symmetry: No. 166
* energy relative to the lowest polymorph listed for this composition: 0.006 eV per atom
* ΔE_f (raw): 0.4764 eV per atom
* crystal system: trigonal